DFT (PBE) results for crystalline Zn2TcO4 at its relaxed geometry.

Geometry as CIF:
```
data_Zn2TcO4
_cell_length_a 4.735
_cell_length_b 4.735
_cell_length_c 9.335
_cell_angle_alpha 90.00
_cell_angle_beta 90.00
_cell_angle_gamma 90.00
_symmetry_space_group_name_H-M 'I -4 2 m'
_symmetry_Int_Tables_number 121
_symmetry_space_group_name_Hall 'I -4 2'
loop_
_atom_site_label
_atom_site_fract_x
_atom_site_fract_y
_atom_site_fract_z
_atom_site_occupancy
Zn1 0.000 0.500 0.250 1
Tc1 0.000 0.000 0.000 1
O1 0.213 0.213 0.135 1
```

Fermi-level density of states = 2.10 states/eV/f.u.
E = -40.39 eV per formula unit
E_form (uncorrected) = -1.092 eV/atom

=====

DFT (PBE) results for crystalline Zn3TcO6 at its relaxed geometry.

Geometry as CIF:
```
data_Zn3TcO6
_cell_length_a 8.6728
_cell_length_b 8.6728
_cell_length_c 10.5550
_cell_angle_alpha 90.00
_cell_angle_beta 90.00
_cell_angle_gamma 120.00
_symmetry_space_group_name_H-M 'R -3'
_symmetry_Int_Tables_number 148
_symmetry_space_group_name_Hall '-R 3'
loop_
_atom_site_label
_atom_site_fract_x
_atom_site_fract_y
_atom_site_fract_z
_atom_site_occupancy
Zn1 0.0346 0.2606 0.2153 1
Tc1 0.0000 0.0000 0.0000 1
Tc2 0.0000 0.0000 0.5000 1
O1 0.0059 0.1822 0.8841 1
O2 0.0289 0.1946 0.3983 1
```

Fermi-level density of states = 3.79 states/eV/f.u.
E = -56.41 eV per formula unit
E_form (uncorrected) = -1.247 eV/atom

=====

DFT (PBE) results for crystalline Zn6TcO6 at its relaxed geometry.

Geometry as CIF:
```
data_Zn6TcO6
_cell_length_a 5.730
_cell_length_b 5.730
_cell_length_c 5.730
_cell_angle_alpha 90.00
_cell_angle_beta 90.00
_cell_angle_gamma 90.00
_symmetry_space_group_name_H-M 'P m -3'
_symmetry_Int_Tables_number 200
_symmetry_space_group_name_Hall '-P 2 2 3'
loop_
_atom_site_label
_atom_site_fract_x
_atom_site_fract_y
_atom_site_fract_z
_atom_site_occupancy
Zn1 0.000 0.250 0.500 1
Tc1 0.000 0.000 0.000 1
O1 0.000 0.500 0.251 1
```

Fermi-level density of states = 5.84 states/eV/f.u.
E = -58.33 eV per formula unit
E_form (uncorrected) = -0.813 eV/atom

=====

DFT (PBE) results for crystalline ZnTc3O12 at its relaxed geometry.

Geometry as CIF:
```
data_ZnTc3O12
_cell_length_a 9.9927
_cell_length_b 9.9927
_cell_length_c 22.7061
_cell_angle_alpha 90.00
_cell_angle_beta 90.00
_cell_angle_gamma 120.00
_symmetry_space_group_name_H-M 'R 3 c'
_symmetry_Int_Tables_number 161
_symmetry_space_group_name_Hall 'R 3 -2"c'
loop_
_atom_site_label
_atom_site_fract_x
_atom_site_fract_y
_atom_site_fract_z
_atom_site_occupancy
Zn1 0.0000 0.0000 0.0000 1
Tc1 0.1111 0.3866 0.0448 1
O1 0.0365 0.1860 0.0518 1
O2 0.1218 0.3666 0.3560 1
O3 0.1875 0.0455 0.4457 1
O4 0.2046 0.4583 0.4917 1
```

Fermi-level density of states = 16.84 states/eV/f.u.
E = -111.02 eV per formula unit
E_form (uncorrected) = -1.197 eV/atom

=====

DFT (PBE) results for crystalline ZrTcO3 at its relaxed geometry.

Geometry as CIF:
```
data_ZrTcO3
_cell_length_a 4.122
_cell_length_b 4.122
_cell_length_c 4.122
_cell_angle_alpha 90.00
_cell_angle_beta 90.00
_cell_angle_gamma 90.00
_symmetry_space_group_name_H-M 'P m -3 m'
_symmetry_Int_Tables_number 221
_symmetry_space_group_name_Hall '-P 4 2 3'
loop_
_atom_site_label
_atom_site_fract_x
_atom_site_fract_y
_atom_site_fract_z
_atom_site_occupancy
Zr1 0.000 0.000 0.000 1
Tc1 0.500 0.500 0.500 1
O1 0.000 0.000 0.500 1
```

Fermi-level density of states = 0.00 states/eV/f.u.
E = -41.15 eV per formula unit
E_form (uncorrected) = -1.472 eV/atom

=====

DFT (PBE) results for crystalline Zr3TcO at its relaxed geometry.

Geometry as CIF:
```
data_Zr3TcO
_cell_length_a 4.435
_cell_length_b 4.435
_cell_length_c 4.435
_cell_angle_alpha 90.00
_cell_angle_beta 90.00
_cell_angle_gamma 90.00
_symmetry_space_group_name_H-M 'P m -3 m'
_symmetry_Int_Tables_number 221
_symmetry_space_group_name_Hall '-P 4 2 3'
loop_
_atom_site_label
_atom_site_fract_x
_atom_site_fract_y
_atom_site_fract_z
_atom_site_occupancy
Zr1 0.000 0.000 0.500 1
Tc1 0.500 0.500 0.500 1
O1 0.000 0.000 0.000 1
```

Fermi-level density of states = 9.09 states/eV/f.u.
E = -45.75 eV per formula unit
E_form (uncorrected) = -0.956 eV/atom
Energy relative to the lowest polymorph listed for this composition = 0 meV/atom

=====

DFT (PBE) results for crystalline ZrTcO2 at its relaxed geometry.

Geometry as CIF:
```
data_ZrTcO2
_cell_length_a 5.693
_cell_length_b 5.693
_cell_length_c 5.693
_cell_angle_alpha 90.00
_cell_angle_beta 90.00
_cell_angle_gamma 90.00
_symmetry_space_group_name_H-M 'F m -3 m'
_symmetry_Int_Tables_number 225
_symmetry_space_group_name_Hall '-F 4 2 3'
loop_
_atom_site_label
_atom_site_fract_x
_atom_site_fract_y
_atom_site_fract_z
_atom_site_occupancy
Zr1 0.000 0.000 0.000 1
Tc1 0.000 0.000 0.500 1
O1 0.250 0.250 0.250 1
```

Fermi-level density of states = 2.32 states/eV/f.u.
E = -32.72 eV per formula unit
E_form (uncorrected) = -0.974 eV/atom
Energy relative to the lowest polymorph listed for this composition = 616 meV/atom

=====

DFT (PBE) results for crystalline Zr3TcO at its relaxed geometry.

Geometry as CIF:
```
data_Zr3TcO
_cell_length_a 5.002
_cell_length_b 5.002
_cell_length_c 5.002
_cell_angle_alpha 90.00
_cell_angle_beta 90.00
_cell_angle_gamma 90.00
_symmetry_space_group_name_H-M 'P m -3 m'
_symmetry_Int_Tables_number 221
_symmetry_space_group_name_Hall '-P 4 2 3'
loop_
_atom_site_label
_atom_site_fract_x
_atom_site_fract_y
_atom_site_fract_z
_atom_site_occupancy
Zr1 0.000 0.000 0.500 1
Tc1 0.000 0.000 0.000 1
O1 0.500 0.500 0.500 1
```

Fermi-level density of states = 9.30 states/eV/f.u.
E = -37.05 eV per formula unit
E_form (uncorrected) = 0.783 eV/atom
Energy relative to the lowest polymorph listed for this composition = 1739 meV/atom

=====

DFT (PBE) results for crystalline ZrTcO2 at its relaxed geometry.

Geometry as CIF:
```
data_ZrTcO2
_cell_length_a 3.1324
_cell_length_b 3.1324
_cell_length_c 19.2688
_cell_angle_alpha 90.00
_cell_angle_beta 90.00
_cell_angle_gamma 120.00
_symmetry_space_group_name_H-M 'R -3 m'
_symmetry_Int_Tables_number 166
_symmetry_space_group_name_Hall '-R 3 2"'
loop_
_atom_site_label
_atom_site_fract_x
_atom_site_fract_y
_atom_site_fract_z
_atom_site_occupancy
Zr1 0.0000 0.0000 0.0000 1
Tc1 0.0000 0.0000 0.5000 1
O1 0.0000 0.0000 0.3934 1
```

Fermi-level density of states = 1.73 states/eV/f.u.
E = -35.19 eV per formula unit
E_form (uncorrected) = -1.589 eV/atom
Energy relative to the lowest polymorph listed for this composition = 0 meV/atom

=====

DFT (PBE) results for crystalline ZrTcO2 at its relaxed geometry.

Geometry as CIF:
```
data_ZrTcO2
_cell_length_a 4.114
_cell_length_b 4.114
_cell_length_c 12.406
_cell_angle_alpha 90.00
_cell_angle_beta 90.00
_cell_angle_gamma 90.00
_symmetry_space_group_name_H-M 'I -4 2 d'
_symmetry_Int_Tables_number 122
_symmetry_space_group_name_Hall 'I -4 2bw'
loop_
_atom_site_label
_atom_site_fract_x
_atom_site_fract_y
_atom_site_fract_z
_atom_site_occupancy
Zr1 0.000 0.000 0.000 1
Tc1 0.000 0.000 0.500 1
O1 0.236 0.250 0.625 1
```

Fermi-level density of states = 1.66 states/eV/f.u.
E = -34.61 eV per formula unit
E_form (uncorrected) = -1.445 eV/atom
Energy relative to the lowest polymorph listed for this composition = 144 meV/atom

=====

DFT (PBE) results for crystalline Zr6TcO at its relaxed geometry.

Geometry as CIF:
```
data_Zr6TcO
_cell_length_a 5.075
_cell_length_b 5.780
_cell_length_c 5.878
_cell_angle_alpha 97.88
_cell_angle_beta 113.40
_cell_angle_gamma 90.03
_symmetry_space_group_name_H-M 'P -1'
_symmetry_Int_Tables_number 2
loop_
_symmetry_equiv_pos_as_xyz
'x,y,z'
'-x,-y,-z'
loop_
_atom_site_label
_atom_site_fract_x
_atom_site_fract_y
_atom_site_fract_z
_atom_site_occupancy
Zr1 0.070 0.279 0.149 1
Zr2 0.237 0.832 0.486 1
Zr3 0.401 0.368 0.762 1
Tc1 0.500 0.000 0.000 1
O1 0.000 0.500 0.500 1
```

Fermi-level density of states = 5.55 states/eV/f.u.
E = -72.63 eV per formula unit
E_form (uncorrected) = -0.753 eV/atom

=====

DFT (PBE) results for crystalline ZrTcO2 at its relaxed geometry.

Geometry as CIF:
```
data_ZrTcO2
_cell_length_a 2.8906
_cell_length_b 2.8906
_cell_length_c 20.9288
_cell_angle_alpha 90.00
_cell_angle_beta 90.00
_cell_angle_gamma 120.00
_symmetry_space_group_name_H-M 'R -3 m'
_symmetry_Int_Tables_number 166
_symmetry_space_group_name_Hall '-R 3 2"'
loop_
_atom_site_label
_atom_site_fract_x
_atom_site_fract_y
_atom_site_fract_z
_atom_site_occupancy
Zr1 0.0000 0.0000 0.0000 1
Tc1 0.0000 0.0000 0.5000 1
O1 0.0000 0.0000 0.1032 1
```

Fermi-level density of states = 2.66 states/eV/f.u.
E = -32.86 eV per formula unit
E_form (uncorrected) = -1.006 eV/atom
Energy relative to the lowest polymorph listed for this composition = 583 meV/atom

=====

DFT (PBE) results for crystalline TeO2 at its relaxed geometry.

Geometry as CIF:
```
data_TeO2
_cell_length_a 3.339
_cell_length_b 14.161
_cell_length_c 4.457
_cell_angle_alpha 90.00
_cell_angle_beta 90.00
_cell_angle_gamma 90.00
_symmetry_space_group_name_H-M 'A m a 2'
_symmetry_Int_Tables_number 40
loop_
_symmetry_equiv_pos_as_xyz
'x,y,z'
'-x,-y,z'
'-x+1/2,y,z'
'x+1/2,-y,z'
'x,y+1/2,z+1/2'
'-x,-y+1/2,z+1/2'
'-x+1/2,y+1/2,z+1/2'
'x+1/2,-y+1/2,z+1/2'
loop_
_atom_site_label
_atom_site_fract_x
_atom_site_fract_y
_atom_site_fract_z
_atom_site_occupancy
Te1 0.250 0.155 0.000 1
O1 0.250 0.239 0.341 1
O2 0.250 0.406 0.677 1
```

Fermi-level density of states = 0.00 states/eV/f.u.
E = -15.71 eV per formula unit
E_form (uncorrected) = -0.882 eV/atom

=====

DFT (PBE) results for crystalline TeO3 at its relaxed geometry.

Geometry as CIF:
```
data_TeO3
_cell_length_a 3.7693
_cell_length_b 3.7693
_cell_length_c 11.8929
_cell_angle_alpha 90.00
_cell_angle_beta 90.00
_cell_angle_gamma 120.00
_symmetry_space_group_name_H-M 'P 63/m m c'
_symmetry_Int_Tables_number 194
_symmetry_space_group_name_Hall '-P 6c 2c'
loop_
_atom_site_label
_atom_site_fract_x
_atom_site_fract_y
_atom_site_fract_z
_atom_site_occupancy
Te1 0.3333 0.6667 0.2500 1
O1 0.0000 0.0000 0.2500 1
O2 0.3333 0.6667 0.0989 1
```

E = -18.48 eV per formula unit
E_form (uncorrected) = -0.115 eV/atom
Energy relative to the lowest polymorph listed for this composition = 701 meV/atom

=====

DFT (PBE) results for crystalline TeO3 at its relaxed geometry.

Geometry as CIF:
```
data_TeO3
_cell_length_a 5.273
_cell_length_b 7.369
_cell_length_c 5.110
_cell_angle_alpha 90.00
_cell_angle_beta 90.00
_cell_angle_gamma 90.00
_symmetry_space_group_name_H-M 'P n m a'
_symmetry_Int_Tables_number 62
loop_
_symmetry_equiv_pos_as_xyz
'x,y,z'
'-x,-y,-z'
'-x+1/2,-y,z+1/2'
'x+1/2,y,-z+1/2'
'x+1/2,-y+1/2,-z+1/2'
'-x+1/2,y+1/2,z+1/2'
'-x,y+1/2,-z'
'x,-y+1/2,z'
loop_
_atom_site_label
_atom_site_fract_x
_atom_site_fract_y
_atom_site_fract_z
_atom_site_occupancy
Te1 0.000 0.000 0.000 1
O1 0.024 0.250 0.124 1
O2 0.190 0.062 0.685 1
```

E = -21.14 eV per formula unit
E_form (uncorrected) = -0.782 eV/atom
Energy relative to the lowest polymorph listed for this composition = 34 meV/atom

=====

DFT (PBE) results for crystalline TeO2 at its relaxed geometry.

Geometry as CIF:
```
data_TeO2
_cell_length_a 6.005
_cell_length_b 7.164
_cell_length_c 7.831
_cell_angle_alpha 105.46
_cell_angle_beta 94.16
_cell_angle_gamma 112.34
_symmetry_space_group_name_H-M 'P -1'
_symmetry_Int_Tables_number 2
loop_
_symmetry_equiv_pos_as_xyz
'x,y,z'
'-x,-y,-z'
loop_
_atom_site_label
_atom_site_fract_x
_atom_site_fract_y
_atom_site_fract_z
_atom_site_occupancy
Te1 0.042 0.032 0.248 1
Te2 0.242 0.683 0.972 1
Te3 0.393 0.630 0.409 1
O1 0.020 0.354 0.883 1
O2 0.087 0.323 0.267 1
O3 0.254 0.007 0.075 1
O4 0.279 0.091 0.457 1
O5 0.402 0.521 0.640 1
O6 0.466 0.692 0.167 1
```

Fermi-level density of states = 0.00 states/eV/f.u.
E = -16.07 eV per formula unit
E_form (uncorrected) = -1.005 eV/atom

=====

DFT (PBE) results for crystalline TeO2 at its relaxed geometry.

Geometry as CIF:
```
data_TeO2
_cell_length_a 5.338
_cell_length_b 13.457
_cell_length_c 5.746
_cell_angle_alpha 90.00
_cell_angle_beta 90.00
_cell_angle_gamma 90.00
_symmetry_space_group_name_H-M 'P b c a'
_symmetry_Int_Tables_number 61
loop_
_symmetry_equiv_pos_as_xyz
'x,y,z'
'-x,-y,-z'
'-x+1/2,-y,z+1/2'
'x+1/2,y,-z+1/2'
'x+1/2,-y+1/2,-z'
'-x+1/2,y+1/2,z'
'-x,y+1/2,-z+1/2'
'x,-y+1/2,z+1/2'
loop_
_atom_site_label
_atom_site_fract_x
_atom_site_fract_y
_atom_site_fract_z
_atom_site_occupancy
Te1 0.188 0.129 0.099 1
O1 0.015 0.214 0.322 1
O2 0.135 0.545 0.323 1
```

Fermi-level density of states = 0.00 states/eV/f.u.
E = -16.14 eV per formula unit
E_form (uncorrected) = -1.027 eV/atom

=====

DFT (PBE) results for crystalline TeO2 at its relaxed geometry.

Geometry as CIF:
```
data_TeO2
_cell_length_a 7.115
_cell_length_b 5.599
_cell_length_c 5.362
_cell_angle_alpha 90.00
_cell_angle_beta 101.14
_cell_angle_gamma 90.00
_symmetry_space_group_name_H-M 'C 1 2/c 1'
_symmetry_Int_Tables_number 15
loop_
_symmetry_equiv_pos_as_xyz
'x,y,z'
'-x,-y,-z'
'-x,y,-z+1/2'
'x,-y,z+1/2'
'x+1/2,y+1/2,z'
'-x+1/2,-y+1/2,-z'
'-x+1/2,y+1/2,-z+1/2'
'x+1/2,-y+1/2,z+1/2'
loop_
_atom_site_label
_atom_site_fract_x
_atom_site_fract_y
_atom_site_fract_z
_atom_site_occupancy
Te1 0.000 0.154 0.250 1
O1 0.163 0.072 0.615 1
```

Fermi-level density of states = 0.00 states/eV/f.u.
E = -16.13 eV per formula unit
E_form (uncorrected) = -1.024 eV/atom

=====

DFT (PBE) results for crystalline TeO3 at its relaxed geometry.

Geometry as CIF:
```
data_TeO3
_cell_length_a 5.224
_cell_length_b 4.937
_cell_length_c 8.455
_cell_angle_alpha 90.00
_cell_angle_beta 90.00
_cell_angle_gamma 90.00
_symmetry_space_group_name_H-M 'P n n a'
_symmetry_Int_Tables_number 52
loop_
_symmetry_equiv_pos_as_xyz
'x,y,z'
'-x,-y,-z'
'-x+1/2,-y,z'
'x+1/2,y,-z'
'x,-y+1/2,-z+1/2'
'-x,y+1/2,z+1/2'
'-x+1/2,y+1/2,-z+1/2'
'x+1/2,-y+1/2,z+1/2'
loop_
_atom_site_label
_atom_site_fract_x
_atom_site_fract_y
_atom_site_fract_z
_atom_site_occupancy
Te1 0.250 0.000 0.092 1
O1 0.065 0.212 0.926 1
O2 0.113 0.250 0.250 1
```

E = -21.19 eV per formula unit
E_form (uncorrected) = -0.794 eV/atom
Energy relative to the lowest polymorph listed for this composition = 22 meV/atom

=====

DFT (PBE) results for crystalline TeO3 at its relaxed geometry.

Geometry as CIF:
```
data_TeO3
_cell_length_a 6.4725
_cell_length_b 6.4725
_cell_length_c 11.6939
_cell_angle_alpha 90.00
_cell_angle_beta 90.00
_cell_angle_gamma 120.00
_symmetry_space_group_name_H-M 'P 63 c m'
_symmetry_Int_Tables_number 185
_symmetry_space_group_name_Hall 'P 6c -2'
loop_
_atom_site_label
_atom_site_fract_x
_atom_site_fract_y
_atom_site_fract_z
_atom_site_occupancy
Te1 0.0000 0.3328 0.0000 1
O1 0.0000 0.0000 0.4587 1
O2 0.0000 0.2781 0.1505 1
O3 0.0000 0.3946 0.8502 1
O4 0.3333 0.6667 0.0233 1
```

E = -18.49 eV per formula unit
E_form (uncorrected) = -0.119 eV/atom
Energy relative to the lowest polymorph listed for this composition = 698 meV/atom